[1]
A relaxed ScNbI2N crystal. Source: Alexandria via LeMat-Bulk, functional GGA-PBE.

extended XYZ file:
```
5
Lattice="5.741 0.000 0.000 0.000 5.741 0.000 0.000 0.000 3.930" Properties=species:S:1:pos:R:3 pbc="T T T"
Sc 0.000 0.000 0.000
Nb 2.871 2.871 1.965
I 0.000 2.871 1.965
I 2.871 0.000 1.965
N 2.871 2.871 0.000
```

- ρ (g cm⁻³) = 5.2
- formation energy without anion corrections (eV per atom) = 0.087

***

[2]
A relaxed ScNbI2N crystal. Source: Alexandria via LeMat-Bulk, functional GGA-PBE.

extended XYZ file:
```
5
Lattice="5.828 0.000 0.000 0.000 5.828 0.000 0.000 0.000 3.863" Properties=species:S:1:pos:R:3 pbc="T T T"
Sc 0.000 0.000 0.000
Nb 2.914 2.914 1.931
I 0.000 2.914 0.000
I 2.914 0.000 0.000
N 0.000 0.000 1.931
```

- ρ (g cm⁻³) = 5.1
- formation energy without anion corrections (eV per atom) = 0.412

***

[3]
A relaxed NbSiIN2 crystal. Source: Alexandria via LeMat-Bulk, functional GGA-PBE.

extended XYZ file:
```
5
Lattice="4.096 0.000 0.000 0.000 4.096 0.000 0.000 0.000 5.754" Properties=species:S:1:pos:R:3 pbc="T T T"
Nb 0.000 0.000 0.000
Si 2.048 2.048 2.877
I 0.000 0.000 2.877
N 0.000 2.048 0.000
N 2.048 0.000 0.000
```

- ρ (g cm⁻³) = 4.7
- formation energy without anion corrections (eV per atom) = 0.796

***

[4]
A relaxed NbSiIN2 crystal. Source: Alexandria via LeMat-Bulk, functional GGA-PBE.

extended XYZ file:
```
5
Lattice="3.765 0.000 0.000 0.000 3.765 0.000 0.000 0.000 5.596" Properties=species:S:1:pos:R:3 pbc="T T T"
Nb 0.000 0.000 0.000
Si 1.882 1.882 2.798
I 1.882 1.882 0.000
N 0.000 1.882 2.798
N 1.882 0.000 2.798
```

- ρ (g cm⁻³) = 5.8
- formation energy without anion corrections (eV per atom) = 1.260

***

[5]
A relaxed NbSnIN2 crystal. Source: Alexandria via LeMat-Bulk, functional GGA-PBE.

extended XYZ file:
```
5
Lattice="4.178 0.000 0.000 0.000 4.178 0.000 0.000 0.000 5.989" Properties=species:S:1:pos:R:3 pbc="T T T"
Nb 0.000 0.000 0.000
Sn 2.089 2.089 2.994
I 2.089 2.089 0.000
N 0.000 2.089 2.994
N 2.089 0.000 2.994
```

- ρ (g cm⁻³) = 5.8
- formation energy without anion corrections (eV per atom) = 1.633

***

[6]
A relaxed NbSnIN2 crystal. Source: Alexandria via LeMat-Bulk, functional GGA-PBE.

extended XYZ file:
```
5
Lattice="4.226 0.000 0.000 0.000 4.226 0.000 0.000 0.000 5.631" Properties=species:S:1:pos:R:3 pbc="T T T"
Nb 0.000 0.000 0.000
Sn 2.113 2.113 2.816
I 0.000 0.000 2.816
N 0.000 2.113 0.000
N 2.113 0.000 0.000
```

- ρ (g cm⁻³) = 6.1
- formation energy without anion corrections (eV per atom) = 0.577

***

[7]
A relaxed NbSnI2N crystal. Source: Alexandria via LeMat-Bulk, functional GGA-PBE.

extended XYZ file:
```
5
Lattice="5.828 0.000 0.000 0.000 5.828 0.000 0.000 0.000 3.957" Properties=species:S:1:pos:R:3 pbc="T T T"
Nb 0.000 0.000 0.000
Sn 2.914 2.914 1.979
I 0.000 2.914 0.000
I 2.914 0.000 0.000
N 0.000 0.000 1.979
```

- ρ (g cm⁻³) = 5.9
- formation energy without anion corrections (eV per atom) = 0.134

***

[8]
A relaxed NbSnI2N crystal. Source: Alexandria via LeMat-Bulk, functional GGA-PBE.

extended XYZ file:
```
5
Lattice="6.061 0.000 0.000 0.000 6.061 0.000 0.000 0.000 3.857" Properties=species:S:1:pos:R:3 pbc="T T T"
Nb 0.000 0.000 0.000
Sn 3.030 3.030 1.929
I 0.000 3.030 1.929
I 3.030 0.000 1.929
N 3.030 3.030 0.000
```

- ρ (g cm⁻³) = 5.6
- formation energy without anion corrections (eV per atom) = 1.094

***

[9]
A relaxed SrNbI2N crystal. Source: Alexandria via LeMat-Bulk, functional GGA-PBE.

extended XYZ file:
```
5
Lattice="5.878 0.000 0.000 0.000 5.878 0.000 0.000 0.000 4.025" Properties=species:S:1:pos:R:3 pbc="T T T"
Sr 0.000 0.000 0.000
Nb 2.939 2.939 2.012
I 0.000 2.939 2.012
I 2.939 0.000 2.012
N 2.939 2.939 0.000
```

- ρ (g cm⁻³) = 5.4
- formation energy without anion corrections (eV per atom) = -0.455

***

[10]
A relaxed SrNbI2N crystal. Source: Alexandria via LeMat-Bulk, functional GGA-PBE.

extended XYZ file:
```
5
Lattice="6.253 0.000 0.000 0.000 6.253 0.000 0.000 0.000 4.284" Properties=species:S:1:pos:R:3 pbc="T T T"
Sr 0.000 0.000 0.000
Nb 3.126 3.126 2.142
I 0.000 3.126 0.000
I 3.126 0.000 0.000
N 0.000 0.000 2.142
```

- ρ (g cm⁻³) = 4.4
- formation energy without anion corrections (eV per atom) = 1.001

***

[11]
A relaxed TaNbIN2 crystal. Source: Alexandria via LeMat-Bulk, functional GGA-PBE.

extended XYZ file:
```
5
Lattice="4.081 0.000 0.000 0.000 4.081 0.000 0.000 0.000 5.702" Properties=species:S:1:pos:R:3 pbc="T T T"
Ta 0.000 0.000 0.000
Nb 2.040 2.040 2.851
I 0.000 0.000 2.851
N 0.000 2.040 0.000
N 2.040 0.000 0.000
```

- ρ (g cm⁻³) = 7.5
- formation energy without anion corrections (eV per atom) = 0.820

***

[12]
A relaxed TaNbIN2 crystal. Source: Alexandria via LeMat-Bulk, functional GGA-PBE.

extended XYZ file:
```
5
Lattice="4.094 0.000 0.000 0.000 4.094 0.000 0.000 0.000 5.606" Properties=species:S:1:pos:R:3 pbc="T T T"
Ta 0.000 0.000 0.000
Nb 2.047 2.047 2.803
I 2.047 2.047 0.000
N 0.000 2.047 2.803
N 2.047 0.000 2.803
```

- ρ (g cm⁻³) = 7.6
- formation energy without anion corrections (eV per atom) = 1.196